# 1
This record from the Alexandria database describes a relaxed Ca2NiHgN crystal. The functional is GGA-PBE.

It has space group P4/mmm (No. 123), with a = 5.122 Å, b = 5.122 Å, c = 3.651 Å, α = 90.00°, β = 90.00° and γ = 90.00°. Symmetry generates all atoms from Ca at (0.000, 0.500, 0.000), Ni at (0.000, 0.000, 0.500), Hg at (0.500, 0.500, 0.500) and N at (0.000, 0.000, 0.000).

The formation energy without anion corrections comes out at -0.55 eV per atom.

***

# 2
This record from the Alexandria database describes a relaxed CaHgNO2 crystal. The functional is GGA-PBE.

It has space group P4/mmm (No. 123), with a = 4.442 Å, b = 4.442 Å, c = 4.681 Å, α = 90.00°, β = 90.00° and γ = 90.00°. Symmetry generates all atoms from Ca at (0.000, 0.000, 0.000), Hg at (0.500, 0.500, 0.500), N at (0.000, 0.000, 0.500) and O at (0.000, 0.500, 0.000).

The formation energy without anion corrections comes out at 0.38 eV per atom.

***

# 3
This record from the Alexandria database describes a relaxed CaHgNO2 crystal. The functional is GGA-PBE.

It has space group P4/mmm (No. 123), with a = 4.320 Å, b = 4.320 Å, c = 4.093 Å, α = 90.00°, β = 90.00° and γ = 90.00°. Symmetry generates all atoms from Ca at (0.000, 0.000, 0.000), Hg at (0.500, 0.500, 0.500), N at (0.500, 0.500, 0.000) and O at (0.000, 0.500, 0.500).

The formation energy without anion corrections comes out at 0.01 eV per atom.

***

# 4
This record from the Alexandria database describes a relaxed Ca2HgOsN crystal. The functional is GGA-PBE.

It has space group P4/mmm (No. 123), with a = 5.696 Å, b = 5.696 Å, c = 3.782 Å, α = 90.00°, β = 90.00° and γ = 90.00°. Symmetry generates all atoms from Ca at (0.000, 0.500, 0.000), Hg at (0.000, 0.000, 0.500), Os at (0.500, 0.500, 0.000) and N at (0.500, 0.500, 0.500).

The formation energy without anion corrections comes out at -0.04 eV per atom.

***

| no. | density of states at the Fermi level (states/eV/cell) |
| --- | --- |
| 1 | 3.016 |
| 2 | 2.884 |
| 3 | 1.976 |
| 4 | 2.902 |